1.
Compound: KMgBiPt
Source: OQMD via LeMat-Bulk
Functional: GGA-PBE
Structure: optimized geometry

The structure in POSCAR format:
```
KMgBiPt
1.0
0.000 3.579 3.579
3.579 0.000 3.579
3.579 3.579 0.000
K Mg Bi Pt
1 1 1 1
direct
0.000 0.000 0.000
0.250 0.250 0.250
0.750 0.750 0.750
0.500 0.500 0.500
```

Results
Polymorph energy (0 for the lowest one) ... 0 meV/atom
Spin magnetization ... 0.00 Bohr magnetons per cell

2.
Compound: LiTaAuO3
Source: OQMD via LeMat-Bulk
Functional: GGA-PBE
Structure: optimized geometry

The structure in POSCAR format:
```
LiTaAuO3
1.0
10.563 0.000 0.000
0.000 2.973 0.000
0.000 0.000 9.988
Li Ta Au O
4 4 4 12
direct
0.197 0.250 0.178
0.303 0.750 0.678
0.697 0.250 0.322
0.803 0.750 0.822
0.077 0.250 0.865
0.423 0.750 0.365
0.577 0.250 0.635
0.923 0.750 0.135
0.108 0.250 0.498
0.392 0.750 0.998
0.608 0.250 0.002
0.892 0.750 0.502
0.014 0.250 0.219
0.111 0.750 0.004
0.224 0.250 0.772
0.276 0.750 0.272
0.389 0.250 0.504
0.486 0.750 0.719
0.514 0.250 0.281
0.611 0.750 0.496
0.724 0.250 0.728
0.776 0.750 0.228
0.889 0.250 0.996
0.986 0.750 0.781
```

Results
Spin magnetization ... 0.02 Bohr magnetons per cell
Electronic total energy ... -7.2642 eV per atom

3.
Compound: Sm3PS2
Source: OQMD via LeMat-Bulk
Functional: GGA-PBE
Structure: optimized geometry

The structure in POSCAR format:
```
Sm3PS2
1.0
4.048 0.000 0.000
-2.024 3.506 0.000
0.000 0.000 9.884
Sm P S
3 1 2
direct
0.000 0.000 0.000
0.333 0.667 0.663
0.667 0.333 0.337
0.000 0.000 0.500
0.333 0.667 0.164
0.667 0.333 0.836
```

Results
Polymorph energy (0 for the lowest one) ... 14 meV/atom
Spin magnetization ... 0.00 Bohr magnetons per cell

4.
Compound: YHoZr
Source: OQMD via LeMat-Bulk
Functional: GGA-PBE
Structure: optimized geometry

The structure in POSCAR format:
```
YHoZr
1.0
0.000 3.697 3.697
3.697 0.000 3.697
3.697 3.697 0.000
Y Ho Zr
1 1 1
direct
0.000 0.000 0.000
0.500 0.500 0.500
0.750 0.750 0.750
```

Results
Polymorph energy (0 for the lowest one) ... 0 meV/atom
ΔH_f (0 K) ... 0.8006 eV per atom
Spin magnetization ... 1.36 Bohr magnetons per cell

5.
Compound: Li3Cd5Hg
Source: OQMD via LeMat-Bulk
Functional: GGA-PBE
Structure: optimized geometry

The structure in POSCAR format:
```
Li3Cd5Hg
1.0
7.375 0.000 0.000
-3.688 6.387 0.000
0.000 0.000 4.059
Li Cd Hg
3 5 1
direct
0.000 0.588 0.000
0.412 0.412 0.000
0.588 0.000 0.000
0.000 0.265 0.500
0.265 0.000 0.500
0.333 0.667 0.500
0.667 0.333 0.500
0.735 0.735 0.500
0.000 0.000 0.000
```

Results
Electronic total energy ... -1.2673 eV per atom

6.
Compound: SmCo3
Source: OQMD via LeMat-Bulk
Functional: GGA-PBE
Structure: optimized geometry

The structure in POSCAR format:
```
SmCo3
1.0
0.000 3.109 3.109
3.109 0.000 3.109
3.109 3.109 0.000
Sm Co
1 3
direct
0.000 0.000 0.000
0.250 0.250 0.250
0.500 0.500 0.500
0.750 0.750 0.750
```

Results
ΔH_f (0 K) ... 0.3282 eV per atom
Spin magnetization ... 3.65 Bohr magnetons per cell

7.
Compound: Y2Zr4Fe3N3
Source: OQMD via LeMat-Bulk
Functional: GGA-PBE
Structure: optimized geometry

The structure in POSCAR format:
```
Y2Zr4Fe3N3
1.0
4.874 -2.814 0.000
4.874 2.814 0.000
-3.334 0.000 13.792
Y Zr Fe N
4 8 6 6
direct
0.041 0.875 0.621
0.125 0.959 0.879
0.875 0.041 0.121
0.959 0.125 0.379
0.195 0.360 0.090
0.298 0.477 0.410
0.360 0.195 0.590
0.477 0.298 0.910
0.523 0.702 0.090
0.640 0.805 0.410
0.702 0.523 0.590
0.805 0.640 0.910
0.086 0.408 0.750
0.408 0.086 0.250
0.423 0.577 0.250
0.577 0.423 0.750
0.592 0.914 0.750
0.914 0.592 0.250
0.000 0.500 0.500
0.168 0.663 0.000
0.337 0.832 0.500
0.500 0.000 0.000
0.663 0.168 0.500
0.832 0.337 0.000
```

Results
Spin magnetization ... 7.50 Bohr magnetons per cell
Electronic total energy ... -8.8844 eV per atom

8.
Compound: Hf31GaO64
Source: OQMD via LeMat-Bulk
Functional: GGA-PBE
Structure: optimized geometry

The structure in POSCAR format:
```
Hf31GaO64
1.0
9.972 0.000 0.000
0.025 10.072 0.000
0.015 0.012 10.406
Hf Ga O
31 1 64
direct
0.000 0.000 0.000
0.000 0.000 0.500
0.000 0.749 0.286
0.001 0.749 0.785
0.268 0.249 0.534
0.270 0.502 0.249
0.270 0.751 0.035
0.270 0.999 0.249
0.270 0.999 0.750
0.271 0.249 0.033
0.271 0.500 0.746
0.271 0.746 0.535
0.498 0.505 0.998
0.499 0.256 0.781
0.499 0.751 0.288
0.500 0.002 0.500
0.500 0.005 0.000
0.500 0.256 0.288
0.500 0.755 0.785
0.764 0.505 0.252
0.767 0.256 0.535
0.768 0.004 0.250
0.768 0.255 0.035
0.769 0.506 0.750
0.770 0.005 0.750
0.770 0.755 0.035
0.771 0.756 0.536
0.996 0.249 0.286
0.999 0.250 0.785
0.999 0.499 0.500
0.999 0.500 0.001
0.515 0.520 0.510
0.089 0.311 0.457
0.094 0.063 0.830
0.094 0.312 0.957
0.094 0.563 0.331
0.095 0.064 0.330
0.095 0.562 0.830
0.095 0.813 0.455
0.095 0.813 0.955
0.172 0.314 0.203
0.173 0.563 0.580
0.174 0.564 0.079
0.175 0.062 0.580
0.175 0.812 0.205
0.176 0.062 0.079
0.176 0.313 0.706
0.177 0.811 0.706
0.341 0.366 0.383
0.361 0.129 0.886
0.361 0.378 0.894
0.361 0.629 0.887
0.361 0.874 0.397
0.362 0.124 0.388
0.362 0.879 0.898
0.365 0.618 0.393
0.407 0.127 0.149
0.407 0.376 0.133
0.408 0.126 0.648
0.408 0.379 0.623
0.408 0.627 0.149
0.408 0.875 0.637
0.409 0.876 0.137
0.412 0.625 0.650
0.586 0.443 0.338
0.593 0.193 0.954
0.593 0.442 0.829
0.594 0.188 0.455
0.594 0.939 0.330
0.595 0.691 0.956
0.595 0.695 0.458
0.595 0.942 0.830
0.672 0.441 0.083
0.674 0.192 0.205
0.675 0.192 0.705
0.675 0.445 0.582
0.675 0.692 0.206
0.676 0.943 0.080
0.677 0.943 0.580
0.678 0.694 0.707
0.858 0.376 0.387
0.860 0.126 0.398
0.860 0.626 0.399
0.861 0.127 0.898
0.861 0.377 0.888
0.862 0.627 0.899
0.862 0.876 0.387
0.862 0.876 0.887
0.906 0.379 0.149
0.906 0.627 0.138
0.907 0.128 0.137
0.907 0.379 0.649
0.908 0.130 0.637
0.908 0.878 0.149
0.909 0.629 0.637
0.910 0.879 0.649
```

Results
Polymorph energy (0 for the lowest one) ... 25 meV/atom
Spin magnetization ... 0.98 Bohr magnetons per cell

9.
Compound: Sm2YSn4Au4
Source: OQMD via LeMat-Bulk
Functional: GGA-PBE
Structure: optimized geometry

The structure in POSCAR format:
```
Sm2YSn4Au4
1.0
-2.326 3.625 7.763
2.326 -3.625 7.763
2.326 3.625 -7.763
Sm Y Sn Au
2 1 4 4
direct
0.129 0.129 0.000
0.871 0.871 0.000
0.500 0.000 0.500
0.199 0.500 0.699
0.288 0.788 0.500
0.712 0.212 0.500
0.801 0.500 0.301
0.127 0.330 0.797
0.467 0.670 0.797
0.533 0.330 0.203
0.873 0.670 0.203
```

Results
Spin magnetization ... 0.01 Bohr magnetons per cell
Electronic total energy ... -4.7636 eV per atom

10.
Compound: HfP2N
Source: OQMD via LeMat-Bulk
Functional: GGA-PBE
Structure: optimized geometry

The structure in POSCAR format:
```
HfP2N
1.0
2.968 0.000 0.000
-1.484 2.570 0.000
0.000 0.000 13.825
Hf P N
2 4 2
direct
0.333 0.667 0.250
0.667 0.333 0.750
0.333 0.667 0.598
0.333 0.667 0.902
0.667 0.333 0.098
0.667 0.333 0.402
0.000 0.000 0.000
0.000 0.000 0.500
```

Results
Spin magnetization ... 0.00 Bohr magnetons per cell
Electronic total energy ... -6.7168 eV per atom

11.
Compound: Y2Tm3ScBi2Os
Source: OQMD via LeMat-Bulk
Functional: GGA-PBE
Structure: optimized geometry

The structure in POSCAR format:
```
Y2Tm3ScBi2Os
1.0
4.183 0.000 0.000
0.000 7.048 4.123
0.000 -7.048 4.123
Y Tm Sc Bi Os
2 3 1 2 1
direct
0.000 0.115 0.885
0.000 0.885 0.115
0.500 0.287 0.287
0.500 0.501 0.879
0.500 0.879 0.501
0.000 0.645 0.645
0.000 0.220 0.551
0.000 0.551 0.220
0.500 0.848 0.848
```

Results
Spin magnetization ... 0.12 Bohr magnetons per cell
Electronic total energy ... -6.3186 eV per atom

12.
Compound: USbMo
Source: OQMD via LeMat-Bulk
Functional: GGA-PBE
Structure: optimized geometry

The structure in POSCAR format:
```
USbMo
1.0
0.000 3.362 3.362
3.362 0.000 3.362
3.362 3.362 0.000
U Sb Mo
1 1 1
direct
0.000 0.000 0.000
0.250 0.250 0.250
0.750 0.750 0.750
```

Results
Polymorph energy (0 for the lowest one) ... 734 meV/atom
Spin magnetization ... 0.30 Bohr magnetons per cell